(1)
First-principles (GGA-PBE) data for a relaxed structure of TaTlAg2, as listed in Alexandria via LeMat-Bulk.

```
TaTlAg2
1.0
-1.559 2.787 -3.572
-2.185 -3.758 -2.014
-0.933 1.171 4.546
Tl Ag Ta
1 2 1
Direct
0.750 0.250 0.500
0.000 0.000 0.000
0.250 0.750 0.500
0.500 0.500 0.000
```

Results
Energy relative to the elements in eV per atom: 0.605
VASP energy in eV per atom: -4.375
Crystal system: tetragonal

(2)
First-principles (GGA-PBE) data for a relaxed structure of TaTl2Ag, as listed in Alexandria via LeMat-Bulk.

```
TaTl2Ag
1.0
-2.490 8.666 -5.278
-5.211 8.264 -3.703
-2.797 9.793 -2.332
Tl Ag Ta
2 1 1
Direct
0.246 0.246 0.246
0.006 0.006 0.006
0.494 0.494 0.494
0.754 0.754 0.754
```

Results
Energy relative to the elements in eV per atom: 0.448
Energy above the most stable polymorph in this dataset in meV per atom: 5.6
VASP energy in eV per atom: -4.411
Crystal system: trigonal

(3)
First-principles (GGA-PBE) data for a relaxed structure of TaTl2Ag, as listed in Alexandria via LeMat-Bulk.

```
TaTl2Ag
1.0
3.060 0.000 0.000
0.000 3.060 0.000
0.000 0.000 9.688
Ag Ta Tl
1 1 2
Direct
0.000 0.000 0.531
0.500 0.500 0.733
0.500 0.500 0.267
0.000 0.000 0.969
```

Results
Energy relative to the elements in eV per atom: 0.442
Energy above the most stable polymorph in this dataset in meV per atom: 0.0
VASP energy in eV per atom: -4.417
Crystal system: tetragonal

(4)
First-principles (GGA-PBE) data for a relaxed structure of TaTlAg2, as listed in Alexandria via LeMat-Bulk.

```
TaTlAg2
1.0
7.697 0.000 0.000
0.000 7.697 0.000
3.848 3.848 2.896
Ag Ta Tl
4 2 2
Direct
0.875 0.864 0.750
0.136 0.625 0.250
0.614 0.125 0.250
0.375 0.386 0.750
0.250 0.750 0.500
0.500 0.500 0.000
0.750 0.250 0.500
0.000 0.000 0.000
```

Results
Energy relative to the elements in eV per atom: 0.812
VASP energy in eV per atom: -4.168
Crystal system: tetragonal

(5)
First-principles (GGA-PBE) data for a relaxed structure of TaTlAg2, as listed in Alexandria via LeMat-Bulk.

```
TaTlAg2
1.0
-4.525 -1.744 -1.709
-2.422 -3.551 -2.823
-0.860 -3.474 4.011
Ta Tl Ag
1 1 2
Direct
0.250 0.250 0.250
0.750 0.750 0.750
0.506 0.506 0.478
0.994 0.994 0.022
```

Results
Energy relative to the elements in eV per atom: 0.436
VASP energy in eV per atom: -4.544
Crystal system: monoclinic

(6)
First-principles (GGA-PBE) data for a relaxed structure of TaTlAg2, as listed in Alexandria via LeMat-Bulk.

```
TaTlAg2
1.0
-2.558 -1.356 0.449
1.779 -3.671 -0.955
1.530 -0.854 6.134
Tl Ta Ag
1 1 2
Direct
0.500 0.500 0.744
0.000 0.000 0.483
0.000 0.000 0.022
0.500 0.500 0.251
```

Results
Energy relative to the elements in eV per atom: 0.458
VASP energy in eV per atom: -4.522
Crystal system: orthorhombic

What are the magnetization values for these records? In order: 0.000, 0.001, 0.000, 0.000, 0.000, 0.000 μB per atom.